Crystalline Cr2B3 at its relaxed geometry, computed with PBE.

Cell lengths 9.1921, 9.1921, 2.9422 Å; angles 90.00, 90.00, 161.61 degrees
Closest atoms and distances in Å follow each position.
Fractional coordinates of all 10 atoms:
Cr: 0.0716 0.9284 0.7500  12 B 2.25-2.36
Cr: 0.2026 0.7974 0.2500  7 B 2.11-2.26
Cr: 0.7974 0.2026 0.7500  7 B 2.11-2.26
Cr: 0.9284 0.0716 0.2500  12 B 2.25-2.36
B: 0.3269 0.6731 0.2500  2 B 1.77
B: 0.3809 0.6191 0.7500  3 B 1.73-1.77
B: 0.4763 0.5237 0.7500  3 B 1.70-1.73
B: 0.5237 0.4763 0.2500  3 B 1.70-1.73
B: 0.6191 0.3809 0.2500  3 B 1.73-1.77
B: 0.6731 0.3269 0.7500  2 B 1.77

Calculated values
ρ   5.8 g cm⁻³
Distance to the lowest polymorph of the same formula   0.00 kcal/mol of atoms
Total DFT energy (no corrections)   -8.29 eV/atom
Space group   No. 63

Crystalline CrB5 at its relaxed geometry, computed with PBE.

Cell lengths 5.1768, 5.1768, 2.8622 Å; angles 90.00, 90.00, 147.48 degrees
Closest atoms and distances in Å follow each position.
Fractional coordinates of all 6 atoms:
Cr: 0.0000 0.0000 0.0000  8 B 2.04-2.16
B: 0.1954 0.8046 0.5000  4 B 1.81-2.02
B: 0.3390 0.6610 0.0000  8 B 2.02-2.15, 2 Cr 2.16
B: 0.5000 0.5000 0.5000  4 Cr 2.04, 4 B 2.15
B: 0.6610 0.3390 0.0000  8 B 2.02-2.15, 2 Cr 2.16
B: 0.8046 0.1954 0.5000  4 B 1.81-2.02

Calculated values
ρ   4.3 g cm⁻³
Total DFT energy (no corrections)   -6.49 eV/atom
Space group   No. 65

Crystalline CsCrB2 at its relaxed geometry, computed with PBE.

Cell lengths 4.4658, 4.4658, 4.4658 Å; angles 60.00, 60.00, 60.00 degrees
Closest atoms and distances in Å follow each position.
Fractional coordinates of all 4 atoms:
Cs: 0.0000 0.0000 0.0000  8 B 2.73
Cr: 0.5000 0.5000 0.5000  8 B 2.73
B: 0.2500 0.2500 0.2500  4 Cr 2.73, 4 Cs 2.73
B: 0.7500 0.7500 0.7500  4 Cr 2.73, 4 Cs 2.73

Calculated values
ρ   5.4 g cm⁻³
Distance to the lowest polymorph of the same formula   39.01 kcal/mol of atoms
Total DFT energy (no corrections)   -3.23 eV/atom
Space group   No. 225

Crystalline CsCrB2 at its relaxed geometry, computed with PBE.

Cell lengths 6.4243, 6.4243, 6.4243 Å; angles 60.00, 60.00, 60.00 degrees
Closest atoms and distances in Å follow each position.
Fractional coordinates of all 8 atoms:
Cs: 0.1250 0.1250 0.1250  12 B 3.77, 4 Cs 3.93, 4 Cr 3.93
Cs: 0.8750 0.8750 0.8750  12 B 3.77, 4 Cr 3.93, 4 Cs 3.93
Cr: 0.3750 0.3750 0.3750  4 B 1.97
Cr: 0.6250 0.6250 0.6250  4 B 1.97
B: 0.0000 0.5000 0.5000  2 Cr 1.97
B: 0.5000 0.0000 0.5000  2 Cr 1.97
B: 0.5000 0.5000 0.0000  2 Cr 1.97
B: 0.5000 0.5000 0.5000  2 Cr 1.97

Calculated values
ρ   3.7 g cm⁻³
Distance to the lowest polymorph of the same formula   0.00 kcal/mol of atoms
Total DFT energy (no corrections)   -4.92 eV/atom
Space group   No. 227

Size of the total moment for the records above, in order: 0.01 0.00 0.00 0.00 μB per formula unit
Density of states at the Fermi level for the records above, in order: 7.27 2.36 6.80 5.88 states/eV/cell
E_form for the records above, in order: -2.2 4.1 10.9 4.1 eV per formula unit